{"formula": "Ba2LiPd2", "functional": "GGA-PBE", "state": "relaxed", "ef_ev_per_fu": -1.4, "volume_a3_per_cell": 157.27, "crystal_system": "tetragonal", "e_tot_ev_per_atom": -3.502, "relative_energy_mev_per_atom": 166, "lattice_angstrom": [[6.214, 0.000, 0.000], [0.000, 6.214, 0.000], [3.107, 3.107, 4.073]], "species": ["Ba", "Ba", "Pd", "Pd", "Li"], "frac_coords": [[0.750, 0.250, 0.500], [0.250, 0.750, 0.500], [0.332, 0.332, 0.337], [0.668, 0.668, 0.663], [0.000, 0.000, 0.000]]}

{"formula": "Ba6Li15Pd8", "functional": "GGA-PBE", "state": "relaxed", "ef_ev_per_fu": -7.8, "volume_a3_per_cell": 721.58, "crystal_system": "cubic", "e_tot_ev_per_atom": -3.089, "lattice_angstrom": [[-6.470, 7.305, 2.477], [-9.618, -0.592, -2.916], [-7.220, -1.761, 6.792]], "species": ["Ba", "Ba", "Ba", "Ba", "Ba", "Ba", "Li", "Li", "Li", "Li", "Li", "Li", "Li", "Li", "Li", "Li", "Li", "Li", "Li", "Li", "Li", "Pd", "Pd", "Pd", "Pd", "Pd", "Pd", "Pd", "Pd"], "frac_coords": [[0.753, 0.753, 0.247], [0.247, 0.247, 0.753], [0.753, 0.247, 0.247], [0.247, 0.753, 0.753], [0.753, 0.247, 0.753], [0.247, 0.753, 0.247], [0.046, 0.318, 0.318], [0.954, 0.682, 0.682], [0.318, 0.318, 0.046], [0.318, 0.318, 0.318], [0.682, 0.682, 0.954], [0.682, 0.682, 0.682], [0.318, 0.046, 0.318], [0.682, 0.954, 0.682], [0.500, 0.500, 0.000], [0.000, 0.000, 0.500], [0.500, 0.000, 0.000], [0.000, 0.500, 0.500], [0.500, 0.000, 0.500], [0.000, 0.500, 0.000], [0.000, 0.000, 0.000], [0.577, 0.141, 0.141], [0.423, 0.859, 0.859], [0.141, 0.141, 0.577], [0.141, 0.141, 0.141], [0.859, 0.859, 0.423], [0.859, 0.859, 0.859], [0.141, 0.577, 0.141], [0.859, 0.423, 0.859]]}

{"formula": "Ba3Li3Pd2", "functional": "GGA-PBE", "state": "relaxed", "ef_ev_per_fu": -2.2, "volume_a3_per_cell": 951.17, "crystal_system": "orthorhombic", "e_tot_ev_per_atom": -3.008, "lattice_angstrom": [[6.372, 0.000, 0.000], [0.000, 8.589, 0.000], [0.000, 0.000, 17.381]], "species": ["Ba", "Ba", "Ba", "Ba", "Ba", "Ba", "Ba", "Ba", "Ba", "Ba", "Ba", "Ba", "Li", "Li", "Li", "Li", "Li", "Li", "Li", "Li", "Li", "Li", "Li", "Li", "Pd", "Pd", "Pd", "Pd", "Pd", "Pd", "Pd", "Pd"], "frac_coords": [[0.109, 0.461, 0.395], [0.609, 0.039, 0.605], [0.891, 0.539, 0.895], [0.391, 0.961, 0.105], [0.891, 0.539, 0.605], [0.391, 0.961, 0.395], [0.109, 0.461, 0.105], [0.609, 0.039, 0.895], [0.640, 0.325, 0.250], [0.140, 0.175, 0.750], [0.360, 0.675, 0.750], [0.860, 0.825, 0.250], [0.093, 0.159, 0.250], [0.593, 0.341, 0.750], [0.907, 0.841, 0.750], [0.407, 0.659, 0.250], [0.599, 0.344, 0.467], [0.099, 0.156, 0.533], [0.401, 0.656, 0.967], [0.901, 0.844, 0.033], [0.401, 0.656, 0.533], [0.901, 0.844, 0.467], [0.599, 0.344, 0.033], [0.099, 0.156, 0.967], [0.876, 0.122, 0.394], [0.376, 0.378, 0.606], [0.124, 0.878, 0.894], [0.624, 0.622, 0.106], [0.124, 0.878, 0.606], [0.624, 0.622, 0.394], [0.876, 0.122, 0.106], [0.376, 0.378, 0.894]]}